DFT (PBE-GGA) results for an optimized crystal structure of Tb3PrSe6.

Summary:
Crystal system = monoclinic
DFT total energy = -5.8534 eV/atom
ΔE_f (raw) = -19.0 eV per formula unit
Symmetry = P2_1/m

The structure in POSCAR format:
```
Tb3PrSe6
1.0
11.6693 0.0000 0.0000
0.0000 4.1689 0.0000
-3.9039 0.0000 11.3210
Tb Pr Se
6 2 12
Cartesian
0.0705 1.0422 1.8896
0.1548 3.1266 5.6693
0.4070 1.0422 10.3519
7.3584 3.1266 0.9691
7.6106 1.0422 5.6517
7.6949 3.1266 9.4314
4.0923 1.0422 3.4542
3.6731 3.1266 7.8668
-1.2812 1.0422 4.3700
-2.4357 1.0422 10.6481
1.7226 3.1266 3.0986
0.6198 3.1266 8.4890
2.3812 1.0422 6.0550
4.4844 3.1266 1.0770
3.2810 1.0422 10.2440
5.3842 3.1266 5.2660
7.1456 1.0422 2.8320
6.0428 1.0422 8.2224
10.2011 3.1266 0.6729
9.0466 3.1266 6.9510
```